Compound: FeIr
Source: Alexandria via LeMat-Bulk
Functional: GGA-PBE
Structure: relaxed

Computed properties:
Space group = Fd-3m (227)
Energy relative to the elements = 0.193 eV/atom
Total energy = -0.622 Ry per atom

abc: 4.268 4.268 4.268
angles: 60.00 60.00 60.00
Each line ends with the local moment (μB).
Element x y z (fractional)
Ir  0.250  0.250  0.250  0.53
Ir  0.500  0.500  0.500  0.53
Fe  0.000  0.000  0.000  2.78
Fe  0.750  0.750  0.750  2.78